Compound: Sr2LiFeO3F
Source: the Alexandria database
Functional: GGA+U
Structure: optimized geometry

The space group is Pmm2 (No. 25) and the conventional cell measures 4.002, 4.094 and 6.925 Å, with angles of 90.00, 90.00 and 90.00 degrees. The asymmetric unit holds Sr at (0.000, 0.000, 0.000), Sr at (0.000, 0.000, 0.487), Li at (0.500, 0.500, 0.241), Fe at (0.500, 0.500, 0.746), O at (0.000, 0.500, 0.773), O at (0.500, 0.000, 0.223), O at (0.500, 0.000, 0.719) and F at (0.000, 0.500, 0.276).

The calculation puts the volume at 14.182 A^3/atom. For the final energy, the calculation gives -46.7 eV/cell.